Entry 1:
## LiNb3Ag (GGA-PBE)

Data for crystalline LiNb3Ag at its relaxed geometry.

Properties
energy relative to the elements: 1096 meV/atom

a = 4.4345 Å, b = 4.4345 Å, c = 4.4345 Å
α = 90.00°, β = 90.00°, γ = 90.00°
Last column: nearest neighbours and their distance in Å.
Space group Pm-3m (No. 221)
Inequivalent atoms, fractional coordinates:
Li1 0.0000 0.0000 0.0000  6 Nb 2.22
Nb1 0.0000 0.0000 0.5000  2 Li 2.22
Ag1 0.5000 0.5000 0.5000  12 Nb 3.14

---

Entry 2:
## Li2NbAg2 (GGA-PBE)

Data for crystalline Li2NbAg2 at its relaxed geometry.

Properties
energy relative to the elements: 106 meV/atom

a = 7.6165 Å, b = 7.6165 Å, c = 2.7492 Å
α = 90.00°, β = 90.00°, γ = 90.00°
Last column: nearest neighbours and their distance in Å.
Space group P4/mbm (No. 127)
Inequivalent atoms, fractional coordinates:
Li1 0.1169 0.3831 0.0000  3 Li 2.52-2.75, 6 Ag 2.55-2.72
Nb1 0.0000 0.0000 0.0000  2 Nb 2.75, 4 Li 3.05
Ag1 0.1835 0.6835 0.5000  6 Li 2.55-2.72, 2 Ag 2.75

---

Entry 3:
## LiNb3Ag (GGA-PBE)

Data for crystalline LiNb3Ag at its relaxed geometry.

Properties
energy relative to the elements: 1844 meV/atom

a = 4.9923 Å, b = 4.9923 Å, c = 4.9923 Å
α = 90.00°, β = 90.00°, γ = 90.00°
Last column: nearest neighbours and their distance in Å.
Space group Pm-3m (No. 221)
Inequivalent atoms, fractional coordinates:
Li1 0.0000 0.0000 0.0000  12 Nb 3.53
Nb1 0.0000 0.5000 0.5000  2 Ag 2.50
Ag1 0.5000 0.5000 0.5000  6 Nb 2.50

---

Entry 4:
## Li2NbAgP (GGA-PBE)

Data for crystalline Li2NbAgP at its relaxed geometry.

Properties
energy relative to the elements: 645 meV/atom

a = 4.2272 Å, b = 4.2272 Å, c = 5.2687 Å
α = 90.00°, β = 90.00°, γ = 90.00°
Last column: nearest neighbours and their distance in Å.
Space group P4/mmm (No. 123)
Inequivalent atoms, fractional coordinates:
Li1 0.0000 0.5000 0.0000  2 Ag 2.11
Nb1 0.0000 0.0000 0.5000  2 Ag 2.63
Ag1 0.0000 0.0000 0.0000  4 Li 2.11
P1 0.5000 0.5000 0.5000  4 Nb 2.99